SmBiS2O: relaxed, GGA-PBE.

## Properties
Uncorrected formation energy   -1.70 eV/atom
M_tot   0.00 Bohr magnetons per cell
Uncorrected energy   -6.0672 eV/atom

a = 3.978 Å, b = 3.978 Å, c = 14.225 Å
α = 90.00°, β = 90.00°, γ = 90.00°
Atoms (fractional coordinates):
Sm 0.250 0.250 0.083
Sm 0.750 0.750 0.917
Bi 0.250 0.250 0.636
Bi 0.750 0.750 0.364
S 0.250 0.250 0.395
S 0.250 0.250 0.814
S 0.750 0.750 0.186
S 0.750 0.750 0.605
O 0.250 0.750 0.000
O 0.750 0.250 0.000